[1]
The following is a PBE calculation of a geometry-optimized CeGdFeIr structure, from the Alexandria database.

The calculation puts the total magnetization at 7.7 μB/cell. The value obtained for the formation energy from the elements is -26.4 kJ/mol of atoms.

Cell: 4.871 4.871 4.871 Å, 60.00 60.00 60.00°
Atoms (fractional coordinates):
1 Ce 0.000 0.000 0.000
2 Gd 0.500 0.500 0.500
3 Fe 0.750 0.750 0.750
4 Ir 0.250 0.250 0.250

***

[2]
The following is a PBE calculation of a geometry-optimized CeGdFeNi structure, from the Alexandria database.

The calculation puts the total magnetization at 6.6 μB/cell. The value obtained for the formation energy from the elements is -5.6 kJ/mol of atoms.

Cell: 4.799 4.799 4.799 Å, 60.00 60.00 60.00°
Atoms (fractional coordinates):
1 Ce 0.000 0.000 0.000
2 Gd 0.500 0.500 0.500
3 Fe 0.750 0.750 0.750
4 Ni 0.250 0.250 0.250

***

[3]
The following is a PBE calculation of a geometry-optimized CeGdFeOs structure, from the Alexandria database.

The calculation puts the total magnetization at 8.4 μB/cell. The value obtained for the formation energy from the elements is 3.1 kJ/mol of atoms.

Cell: 4.861 4.861 4.861 Å, 60.00 60.00 60.00°
Atoms (fractional coordinates):
1 Ce 0.000 0.000 0.000
2 Gd 0.500 0.500 0.500
3 Fe 0.250 0.250 0.250
4 Os 0.750 0.750 0.750

***

[4]
The following is a PBE calculation of a geometry-optimized CeGdFeRu structure, from the Alexandria database.

The calculation puts the total magnetization at 8.4 μB/cell. The value obtained for the formation energy from the elements is -4.8 kJ/mol of atoms.

Cell: 4.850 4.850 4.850 Å, 60.00 60.00 60.00°
Atoms (fractional coordinates):
1 Ce 0.000 0.000 0.000
2 Gd 0.500 0.500 0.500
3 Fe 0.250 0.250 0.250
4 Ru 0.750 0.750 0.750